Below is Pm3YSb3 after structural relaxation, with properties calculated at the PBE level.

The calculation puts the relative energy among the computed polymorphs at 97 meV/atom. The value obtained for the uncorrected formation energy is -0.9529 eV/atom. The calculation puts the total magnetic moment at 0.000 Bohr magnetons per cell.

The structure belongs to space group R-3 (No. 148, hexagonal axes); the cell edges are 9.1513, 9.1513 and 18.8128 Å and the angles 90.00°, 90.00° and 120.00°. The inequivalent atoms are Pm at (0.0049, 0.2659, 0.0867), Y at (0.0000, 0.0000, 0.3329) and Sb at (0.0050, 0.3894, 0.9210).